1.
4
Lattice="3.012 -4.058 0.000 3.012 4.058 0.000 0.000 0.000 3.088" Properties=species:S:1:pos:R:3 comment="Zr2SiAu, optimized geometry, DFT PBE" formation_energy_uncorrected_mev_per_atom=-519 spacegroup="Cmmm, No. 65" crystal_system=orthorhombic dft_energy_ev_per_cell=-27.874 pbc="T T T"
Zr 1.506 2.029 0.000
Zr 1.506 -2.029 0.000
Si 0.000 0.000 1.544
Au 3.012 0.000 1.544

2.
4
Lattice="-1.827 2.169 4.842 1.827 -2.169 4.842 1.827 2.169 -4.842" Properties=species:S:1:pos:R:3 comment="Zr2SiAu, optimized geometry, DFT PBE" formation_energy_uncorrected_mev_per_atom=-495 spacegroup="Imm2, No. 44" crystal_system=orthorhombic dft_energy_ev_per_cell=-27.775 pbc="T T T"
Zr 0.000 0.000 0.000
Zr 0.000 2.169 2.254
Si 0.000 0.000 4.539
Au 1.827 0.000 2.572

3.
8
Lattice="-3.760 3.760 2.886 3.760 -3.760 2.886 3.760 3.760 -2.886" Properties=species:S:1:pos:R:3 comment="Zr2SiAu, optimized geometry, DFT PBE" formation_energy_uncorrected_mev_per_atom=-249 spacegroup="I-42d, No. 122" crystal_system=tetragonal dft_energy_ev_per_cell=-53.587 pbc="T T T"
Zr 5.639 1.807 -0.721
Zr 1.807 1.880 0.721
Zr -1.880 1.953 2.164
Zr 1.953 1.880 3.607
Si 0.000 0.000 0.000
Si 0.000 3.760 1.443
Au 3.760 0.000 1.443
Au 0.000 0.000 2.886